The following is a DFT calculation (PBE) of a geometry-optimized YCo2Cu structure.

```
data_YCo2Cu
_cell_length_a 6.1905
_cell_length_b 6.1905
_cell_length_c 6.1905
_cell_angle_alpha 90.00
_cell_angle_beta 90.00
_cell_angle_gamma 90.00
_symmetry_space_group_name_H-M 'F m -3 m'
_symmetry_Int_Tables_number 225
_symmetry_space_group_name_Hall '-F 4 2 3'
loop_
_atom_site_label
_atom_site_type_symbol
_atom_site_fract_x
_atom_site_fract_y
_atom_site_fract_z
Y1 Y 0.0000 0.0000 0.0000
Co1 Co 0.2500 0.2500 0.2500
Cu1 Cu 0.0000 0.0000 0.5000
```

As for the formation energy: 0.2037 eV per atom. The value obtained for the energy relative to the lowest polymorph listed for this composition is 311 meV/atom.



The following is a DFT calculation (PBE) of a geometry-optimized YHoRh structure.

```
data_YHoRh
_cell_length_a 6.7960
_cell_length_b 6.7960
_cell_length_c 6.7960
_cell_angle_alpha 90.00
_cell_angle_beta 90.00
_cell_angle_gamma 90.00
_symmetry_space_group_name_H-M 'F -4 3 m'
_symmetry_Int_Tables_number 216
_symmetry_space_group_name_Hall 'F -4 2 3'
loop_
_atom_site_label
_atom_site_type_symbol
_atom_site_fract_x
_atom_site_fract_y
_atom_site_fract_z
Y1 Y 0.0000 0.0000 0.0000
Ho1 Ho 0.0000 0.0000 0.5000
Rh1 Rh 0.2500 0.2500 0.7500
```

As for the formation energy: -0.5819 eV per atom. The value obtained for the energy relative to the lowest polymorph listed for this composition is 64 meV/atom.



The following is a DFT calculation (PBE) of a geometry-optimized Ac2Y2Tl3 structure.

```
data_Ac2Y2Tl3
_cell_length_a 9.7638
_cell_length_b 9.7638
_cell_length_c 9.7638
_cell_angle_alpha 90.00
_cell_angle_beta 90.00
_cell_angle_gamma 90.00
_symmetry_space_group_name_H-M 'I 21 3'
_symmetry_Int_Tables_number 199
_symmetry_space_group_name_Hall 'I 2b 2c 3'
loop_
_atom_site_label
_atom_site_type_symbol
_atom_site_fract_x
_atom_site_fract_y
_atom_site_fract_z
Ac1 Ac 0.1718 0.1718 0.1718
Y1 Y 0.0685 0.4315 0.5685
Tl1 Tl 0.0000 0.2500 0.8523
```

As for the formation energy: -0.2577 eV per atom. The value obtained for the energy relative to the lowest polymorph listed for this composition is 0 meV/atom.



The following is a DFT calculation (PBE) of a geometry-optimized Pu2ZrHg structure.

```
data_Pu2ZrHg
_cell_length_a 4.3581
_cell_length_b 4.3581
_cell_length_c 4.9945
_cell_angle_alpha 90.00
_cell_angle_beta 90.00
_cell_angle_gamma 90.00
_symmetry_space_group_name_H-M 'P 4/m m m'
_symmetry_Int_Tables_number 123
_symmetry_space_group_name_Hall '-P 4 2'
loop_
_atom_site_label
_atom_site_type_symbol
_atom_site_fract_x
_atom_site_fract_y
_atom_site_fract_z
Pu1 Pu 0.0000 0.5000 0.0000
Zr1 Zr 0.0000 0.0000 0.5000
Hg1 Hg 0.5000 0.5000 0.5000
```

As for the formation energy: 0.0213 eV per atom. The value obtained for the energy relative to the lowest polymorph listed for this composition is 0 meV/atom.



no.,DOS(E_F) (states/eV/cell),volume (Å³/atom),energy (eV for the cell shown)
1,24.10,14.83,-95.83
2,12.22,26.16,-80.56
3,25.55,33.24,-120.19
4,9.53,23.72,-37.43